(1)
## Mn2ZnB2Rh5 (GGA-PBE)

Data for Mn2ZnB2Rh5 after structural relaxation.

Cell lengths 9.3182, 9.3182, 2.9293 Å; angles 90.00, 90.00, 90.00 degrees
Last column: nearest neighbours and their distance in Å.
Space group P4/mbm (No. 127)
Unique sites:
Mn 0.1771 0.3229 0.0000 x4  1 B 2.57, 6 Rh 2.76-2.79
Zn 0.0000 0.0000 0.0000 x2  8 Rh 2.57
B 0.1281 0.6281 0.0000 x4  6 Rh 2.13-2.23
Rh 0.0000 0.5000 0.5000 x2  4 B 2.23
Rh 0.0704 0.7842 0.5000 x8  2 B 2.13


(2)
## MnBRu (GGA-PBE)

Data for MnBRu after structural relaxation.

Cell lengths 2.6513, 2.6513, 8.5919 Å; angles 90.00, 90.00, 90.00 degrees
Last column: nearest neighbours and their distance in Å.
Space group I4mm (No. 107)
Unique sites:
Mn 0.0000 0.0000 0.0000 x2  4 B 2.20
B 0.0000 0.0000 0.3670 x2  4 Mn 2.20, 4 Ru 2.32
Ru 0.0000 0.0000 0.7085 x2  4 B 2.32, 5 Mn 2.50-2.59


(3)
## MnB3Ru (GGA-PBE)

Data for MnB3Ru after structural relaxation.

Values from the calculation:
The calculation puts the polymorph energy (0 for the lowest one) at 435 meV/atom.

Cell lengths 3.9262, 3.9262, 3.9262 Å; angles 90.00, 90.00, 90.00 degrees
Last column: nearest neighbours and their distance in Å.
Space group Pm-3m (No. 221)
Unique sites:
Mn 0.0000 0.0000 0.0000 x1  12 B 2.78
B 0.0000 0.5000 0.5000 x3  2 Ru 1.96
Ru 0.5000 0.5000 0.5000 x1  6 B 1.96


(4)
## MnB3Ru (GGA-PBE)

Data for MnB3Ru after structural relaxation.

Values from the calculation:
The calculation puts the polymorph energy (0 for the lowest one) at 0 meV/atom.

Cell lengths 3.7080, 3.7080, 3.7080 Å; angles 90.00, 90.00, 90.00 degrees
Last column: nearest neighbours and their distance in Å.
Space group Pm-3m (No. 221)
Unique sites:
Mn 0.0000 0.0000 0.0000 x1  6 B 1.85
B 0.0000 0.0000 0.5000 x3  2 Mn 1.85
Ru 0.5000 0.5000 0.5000 x1  12 B 2.62


(5)
## MnB2Ru2 (GGA-PBE)

Data for MnB2Ru2 after structural relaxation.

Cell lengths 6.0011, 6.0011, 2.7922 Å; angles 90.00, 90.00, 90.00 degrees
Last column: nearest neighbours and their distance in Å.
Space group P4/mbm (No. 127)
Unique sites:
Mn 0.0000 0.0000 0.0000 x2  4 B 2.33
B 0.1364 0.3636 0.0000 x4  6 Ru 2.22-2.27, 1 B 2.31, 2 Mn 2.33
Ru 0.1605 0.6605 0.5000 x4  6 B 2.22-2.27


(6)
## MnBRu2 (GGA-PBE)

Data for MnBRu2 after structural relaxation.

Cell lengths 4.0012, 4.0012, 2.9087 Å; angles 90.00, 90.00, 90.00 degrees
Last column: nearest neighbours and their distance in Å.
Space group P4/mmm (No. 123)
Unique sites:
Mn 0.0000 0.0000 0.0000 x1  8 Ru 2.47
B 0.5000 0.5000 0.0000 x1  8 Ru 2.47
Ru 0.0000 0.5000 0.5000 x2  4 Mn 2.47, 4 B 2.47


(7)
## Mn3BRu (GGA-PBE)

Data for Mn3BRu after structural relaxation.

Values from the calculation:
The calculation puts the polymorph energy (0 for the lowest one) at 1729 meV/atom.

Cell lengths 4.6787, 4.6787, 4.6787 Å; angles 90.00, 90.00, 90.00 degrees
Last column: nearest neighbours and their distance in Å.
Space group Pm-3m (No. 221)
Unique sites:
Mn 0.0000 0.0000 0.5000 x3  2 Ru 2.34
B 0.5000 0.5000 0.5000 x1  12 Mn 3.31
Ru 0.0000 0.0000 0.0000 x1  6 Mn 2.34


(8)
## Mn3BRu (GGA-PBE)

Data for Mn3BRu after structural relaxation.

Values from the calculation:
The calculation puts the polymorph energy (0 for the lowest one) at 0 meV/atom.

Cell lengths 3.7962, 3.7962, 3.7962 Å; angles 90.00, 90.00, 90.00 degrees
Last column: nearest neighbours and their distance in Å.
Space group Pm-3m (No. 221)
Unique sites:
Mn 0.0000 0.0000 0.5000 x3  2 B 1.90
B 0.0000 0.0000 0.0000 x1  6 Mn 1.90
Ru 0.5000 0.5000 0.5000 x1  12 Mn 2.68


(9)
## MnBRu2 (GGA-PBE)

Data for MnBRu2 after structural relaxation.

Cell lengths 2.7886, 2.7886, 20.6368 Å; angles 90.00, 90.00, 120.00 degrees
Last column: nearest neighbours and their distance in Å.
Space group R3m (No. 160, hexagonal axes)
Unique sites:
Mn 0.0000 0.0000 0.0000 x3  6 Ru 2.54-2.63, 6 Mn 2.79
B 0.0000 0.0000 0.8360 x3  6 Ru 2.14-2.15
Ru 0.0000 0.0000 0.2382 x3  3 B 2.15
Ru 0.0000 0.0000 0.4342 x3  3 B 2.14


(10)
## MnB2Ru2 (GGA-PBE)

Data for MnB2Ru2 after structural relaxation.

Cell lengths 3.9090, 3.9090, 7.4266 Å; angles 90.00, 90.00, 90.00 degrees
Last column: nearest neighbours and their distance in Å.
Space group I4/mmm (No. 139)
Unique sites:
Mn 0.0000 0.0000 0.0000 x2  8 Ru 2.70, 10 B 2.82-2.90
B 0.0000 0.0000 0.3801 x4  1 B 1.78
Ru 0.0000 0.5000 0.2500 x4  4 B 2.18


(11)
## MnBRu2 (GGA-PBE)

Data for MnBRu2 after structural relaxation.

Cell lengths 2.7090, 2.7090, 6.1135 Å; angles 90.00, 90.00, 90.00 degrees
Last column: nearest neighbours and their distance in Å.
Space group P4/mmm (No. 123)
Unique sites:
Mn 0.0000 0.0000 0.0000 x1  8 Ru 2.60, 4 Mn 2.71
B 0.0000 0.0000 0.5000 x1  8 Ru 2.32
Ru 0.5000 0.5000 0.2866 x2  4 B 2.32, 4 Mn 2.60


(12)
## MnBRu2 (GGA-PBE)

Data for MnBRu2 after structural relaxation.

Cell lengths 4.9258, 4.9258, 9.8689 Å; angles 90.00, 90.00, 90.00 degrees
Last column: nearest neighbours and their distance in Å.
Space group I-42d (No. 122)
Unique sites:
Mn 0.0000 0.0000 0.0000 x4  4 Ru 2.26
B 0.0000 0.0000 0.5000 x4  4 Ru 2.02
Ru 0.2090 0.2500 0.6250 x8  2 B 2.02, 2 Mn 2.26


no.,final energy (eV/atom),formation enthalpy at 0 K (eV/atom)
1,-7.342,-0.369
2,-8.443,-0.069
3,-6.255,1.441
4,-6.689,1.006
5,-8.298,-0.083
6,-8.462,0.138
7,-6.773,1.919
8,-8.503,0.190
9,-8.515,0.084
10,-8.126,0.089
11,-8.610,-0.010
12,-7.878,0.721